# SrTlCu2 | Alexandria via LeMat-Bulk | PBE | optimized geometry
# Electronic total energy: -2.98 eV per atom
# V: 88 Å³/cell
# E_form: 31.8 kJ/mol of formula units
data_SrTlCu2
_chemical_formula_sum 'Sr1 Tl1 Cu2'
_cell_length_a 3.416
_cell_length_b 3.416
_cell_length_c 7.536
_cell_angle_alpha 90.00
_cell_angle_beta 90.00
_cell_angle_gamma 90.00
_space_group_name_H-M_alt 'P 4 m m'
_space_group_IT_number 99
_space_group_name_Hall 'P 4 -2'
loop_
_atom_site_label
_atom_site_type_symbol
_atom_site_fract_x
_atom_site_fract_y
_atom_site_fract_z
Sr1 Sr 0.000 0.000 0.000
Tl1 Tl 0.500 0.500 0.349
Cu1 Cu 0.000 0.000 0.590
Cu2 Cu 0.500 0.500 0.714